[1]
Pm2Pr2Nd4Dy (PBE, relaxed); electronic total energy = -0.17407 Ha/atom; crystal system = monoclinic
1.0
9.584 -1.849 0.000
9.584 1.849 0.000
-4.250 0.000 8.882
Pm Pr Nd Dy
2 2 4 1
direct
0.148 0.148 0.167
0.852 0.852 0.833
0.335 0.335 0.501
0.665 0.665 0.499
0.185 0.185 0.832
0.482 0.482 0.170
0.518 0.518 0.830
0.815 0.815 0.168
0.000 0.000 0.500

---

[2]
LiVAsBr2 (PBE, relaxed); formation energy (no corrections) = -33.1 kJ/mol of atoms; excess energy over the best structure of this formula in the dataset = 0 meV/atom; crystal system = tetragonal
1.0
5.291 0.000 0.000
0.000 5.291 0.000
0.000 0.000 4.768
Li V As Br
1 1 1 2
direct
0.000 0.000 0.000
0.500 0.500 0.500
0.500 0.500 0.000
0.000 0.500 0.500
0.500 0.000 0.500

---

[3]
YTi2Br2 (PBE, relaxed); formation energy (no corrections) = -12.2 kJ/mol of atoms; excess energy over the best structure of this formula in the dataset = 0 meV/atom; crystal system = tetragonal
1.0
4.918 0.000 0.000
0.000 4.918 0.000
0.000 0.000 9.002
Y Ti Br
2 4 4
direct
0.000 0.000 0.000
0.500 0.500 0.500
0.000 0.000 0.381
0.000 0.000 0.619
0.500 0.500 0.119
0.500 0.500 0.881
0.000 0.500 0.250
0.000 0.500 0.750
0.500 0.000 0.250
0.500 0.000 0.750

---

Total magnetic moment (computed, μB/f.u.): 0.0 1.1 0.0